# 1
The following is a DFT calculation (PBE) of a geometry-optimized Tm5InPt4 structure.

**V**: 21.6 Å³/atom

a = 3.4863 Å, b = 3.4863 Å, c = 17.7456 Å
α = 90.00°, β = 90.00°, γ = 90.00°
Space group P4/mmm (No. 123)
One atom of each set of equivalent atoms:
Tm1 0.0000 0.0000 0.0000 (multiplicity 1)
Tm2 0.0000 0.0000 0.1916 (multiplicity 2)
Tm3 0.0000 0.0000 0.3808 (multiplicity 2)
In1 0.5000 0.5000 0.5000 (multiplicity 1)
Pt1 0.5000 0.5000 0.0966 (multiplicity 2)
Pt2 0.5000 0.5000 0.2911 (multiplicity 2)

---

# 2
The following is a DFT calculation (PBE) of a geometry-optimized TmIn2Pt structure.

**V**: 25.8 Å³/atom

a = 3.4155 Å, b = 3.4155 Å, c = 30.6140 Å
α = 90.00°, β = 90.00°, γ = 120.00°
Space group R-3m (No. 166, hexagonal axes)
One atom of each set of equivalent atoms:
Tm1 0.0000 0.0000 0.0000 (multiplicity 3)
In1 0.0000 0.0000 0.1025 (multiplicity 6)
Pt1 0.0000 0.0000 0.5000 (multiplicity 3)

---

no.,formation enthalpy at 0 K (eV per formula unit),total magnetization (μB/f.u.)
1,-11.2,0.000
2,0.0,0.000